1.
{
  "formula": "BaMg4GaAg2",
  "functional": "PBE",
  "state": "optimized geometry",
  "cell": [[4.704, 0.000, 0.000], [2.352, 4.074, 0.000], [2.352, 1.358, 10.428]],
  "species": ["Ba", "Mg", "Mg", "Mg", "Mg", "Ga", "Ag", "Ag"],
  "frac_coords": [[0.000, 0.000, 0.000], [0.411, 0.411, 0.766], [0.866, 0.866, 0.403], [0.134, 0.134, 0.597], [0.589, 0.589, 0.234], [0.500, 0.500, 0.500], [0.761, 0.761, 0.716], [0.239, 0.239, 0.284]],
  "sg": "R-3m, No. 166",
  "formation_energy_ev_per_atom": -0.14
}

=====

2.
{
  "formula": "MnPt2W",
  "functional": "PBE",
  "state": "optimized geometry",
  "cell": [[-1.133, -4.267, 1.862], [-1.816, -4.354, -0.839], [4.039, -2.400, -0.944]],
  "species": ["Mn", "Pt", "Pt", "W"],
  "frac_coords": [[0.250, 0.250, 0.250], [0.998, 0.998, 0.000], [0.502, 0.502, 0.500], [0.750, 0.750, 0.750]],
  "sg": "C2/m, No. 12",
  "polymorph_energy_ev_per_atom": 0.176,
  "formation_energy_ev_per_atom": -0.12
}

=====

3.
{
  "formula": "Th3Al2Cd4",
  "functional": "PBE",
  "state": "optimized geometry",
  "cell": [[-2.219, -2.651, 3.477], [3.862, -3.190, 3.489], [0.748, 4.548, 7.402]],
  "species": ["Th", "Th", "Th", "Al", "Al", "Cd", "Cd", "Cd", "Cd"],
  "frac_coords": [[0.332, 0.670, 0.665], [0.000, 0.000, 0.000], [0.668, 0.330, 0.335], [0.392, 0.940, 0.276], [0.608, 0.060, 0.724], [0.290, 0.372, 0.048], [0.710, 0.628, 0.952], [0.063, 0.267, 0.607], [0.937, 0.733, 0.393]],
  "sg": "C2/m, No. 12",
  "formation_energy_ev_per_atom": -0.22
}

=====

4.
{
  "formula": "KBaCa2Rh",
  "functional": "PBE",
  "state": "optimized geometry",
  "cell": [[5.600, 0.000, 0.000], [0.000, 5.600, 0.000], [0.000, 0.000, 6.416]],
  "species": ["K", "Ca", "Ca", "Rh", "Ba"],
  "frac_coords": [[0.000, 0.000, 0.500], [0.000, 0.500, 0.000], [0.500, 0.000, 0.000], [0.000, 0.000, 0.000], [0.500, 0.500, 0.500]],
  "sg": "P4/mmm, No. 123",
  "polymorph_energy_ev_per_atom": 0.176,
  "formation_energy_ev_per_atom": 0.05
}

=====

5.
{
  "formula": "Sr2AlHgH",
  "functional": "PBE",
  "state": "optimized geometry",
  "cell": [[-2.094, 3.674, 3.614], [2.599, -2.616, 4.165], [3.220, 2.357, -0.530]],
  "species": ["Sr", "Sr", "Hg", "H", "Al"],
  "frac_coords": [[0.000, 0.500, 0.000], [0.500, 0.000, 0.000], [0.500, 0.500, 0.500], [0.000, 0.000, 0.000], [0.000, 0.000, 0.500]],
  "sg": "P4/mmm, No. 123"
}

=====

6.
{
  "formula": "Ba6Se2S3Cl",
  "functional": "PBE",
  "state": "optimized geometry",
  "cell": [[4.608, 0.000, 0.000], [0.000, 9.238, 0.301], [-2.304, -2.696, 9.690]],
  "species": ["Ba", "Ba", "Ba", "Ba", "Ba", "Ba", "Se", "Se", "S", "S", "S", "Cl"],
  "frac_coords": [[0.328, 0.920, 0.656], [0.666, 0.587, 0.332], [0.672, 0.080, 0.344], [0.997, 0.264, 0.995], [0.003, 0.736, 0.005], [0.334, 0.413, 0.668], [0.836, 0.672, 0.672], [0.164, 0.328, 0.328], [0.500, 0.500, 0.000], [0.835, 0.165, 0.670], [0.165, 0.835, 0.330], [0.500, 0.000, 0.000]],
  "sg": "C2/m, No. 12",
  "e_form_raw_kcal_per_mol_atoms": -47.16
}

=====

7.
{
  "formula": "BaTe2PN",
  "functional": "PBE",
  "state": "optimized geometry",
  "cell": [[-0.857, -6.036, -1.733], [5.471, 0.141, -3.197], [1.624, -1.015, 2.733]],
  "species": ["P", "Te", "Te", "Ba", "N"],
  "frac_coords": [[0.000, 0.000, 0.000], [0.000, 0.500, 0.000], [0.500, 0.000, 0.000], [0.500, 0.500, 0.500], [0.000, 0.000, 0.500]],
  "sg": "P4/mmm, No. 123",
  "polymorph_energy_ev_per_atom": 0.000,
  "e_form_raw_kcal_per_mol_atoms": -2.97
}

=====

8.
{
  "formula": "HfTaGeO6",
  "functional": "PBE",
  "state": "optimized geometry",
  "cell": [[-1.206, -1.748, 4.838], [-1.307, -2.862, -4.245], [7.873, -4.237, 0.432]],
  "species": ["Hf", "Hf", "Ta", "Ta", "Ge", "Ge", "O", "O", "O", "O", "O", "O", "O", "O", "O", "O", "O", "O"],
  "frac_coords": [[0.333, 0.667, 0.250], [0.667, 0.333, 0.750], [0.667, 0.333, 0.250], [0.333, 0.667, 0.750], [0.000, 0.000, 0.000], [0.000, 0.000, 0.500], [0.665, 0.654, 0.129], [0.989, 0.335, 0.129], [0.335, 0.989, 0.629], [0.011, 0.665, 0.871], [0.346, 0.335, 0.371], [0.989, 0.654, 0.371], [0.654, 0.989, 0.871], [0.665, 0.011, 0.371], [0.011, 0.346, 0.629], [0.346, 0.011, 0.129], [0.654, 0.665, 0.629], [0.335, 0.346, 0.871]],
  "sg": "P-31c, No. 163",
  "e_form_raw_kcal_per_mol_atoms": -56.53
}

=====

One value per record, in order, for DOS at the Fermi energy: 0.556 0.958 0.878 0.958 0.529 0.268 0.287 0.305 states/eV per atom.
One value per record, in order, for electronic total energy: -18.2 -34.7 -35.3 -14.1 -12.2 -57.3 -22.6 -156.5 eV for the cell shown.